Record 1
The following is a GGA-PBE calculation of a geometry-optimized Ca2Ni3As2 structure, from Alexandria.

The structure in POSCAR format:
```
Ca2Ni3As2
1.0
3.842 0.000 0.000
-1.921 5.253 -0.318
0.000 -2.796 6.309
As Ni Ca
2 3 2
Direct
0.153 0.306 0.217 As
0.847 0.694 0.783 As
0.654 0.307 0.418 Ni
0.346 0.693 0.582 Ni
0.500 0.000 0.000 Ni
0.877 0.754 0.241 Ca
0.123 0.246 0.759 Ca
```

Results
* DOS at the Fermi energy: 4.87 states/eV/f.u.
* M_tot: 0.00 Bohr magnetons per cell
* calculated formation energy: -3.99 eV per formula unit

---

Record 2
The following is a GGA-PBE calculation of a geometry-optimized Ca3NiAs structure, from Alexandria.

The structure in POSCAR format:
```
Ca3NiAs
1.0
-0.661 1.665 4.876
-1.515 -4.762 1.420
4.925 -1.241 1.092
Ca As Ni
3 1 1
Direct
0.000 0.500 0.000 Ca
0.000 0.000 0.500 Ca
0.500 0.000 0.000 Ca
0.500 0.500 0.500 As
0.000 0.000 0.000 Ni
```

Results
* DOS at the Fermi energy: 3.81 states/eV/f.u.
* M_tot: 0.00 Bohr magnetons per cell
* calculated formation energy: -1.14 eV per formula unit
* excess energy over the best structure of this formula in the dataset: 0 meV per atom

---

Record 3
The following is a GGA-PBE calculation of a geometry-optimized CaNiAs2 structure, from Alexandria.

The structure in POSCAR format:
```
CaNiAs2
1.0
-3.990 0.369 0.523
-0.601 -3.299 -2.254
2.565 -1.307 4.857
Ni As Ca
1 2 1
Direct
0.472 0.631 0.728 Ni
0.589 0.250 0.965 As
0.853 0.513 0.492 As
0.221 0.881 0.228 Ca
```

Results
* DOS at the Fermi energy: 2.22 states/eV/f.u.
* M_tot: 0.00 Bohr magnetons per cell
* calculated formation energy: -2.66 eV per formula unit

---

Copy entry 2 word for word.
The following is a GGA-PBE calculation of a geometry-optimized Ca3NiAs structure, from Alexandria.

The structure in POSCAR format:
```
Ca3NiAs
1.0
-0.661 1.665 4.876
-1.515 -4.762 1.420
4.925 -1.241 1.092
Ca As Ni
3 1 1
Direct
0.000 0.500 0.000 Ca
0.000 0.000 0.500 Ca
0.500 0.000 0.000 Ca
0.500 0.500 0.500 As
0.000 0.000 0.000 Ni
```

Results
* DOS at the Fermi energy: 3.81 states/eV/f.u.
* M_tot: 0.00 Bohr magnetons per cell
* calculated formation energy: -1.14 eV per formula unit
* excess energy over the best structure of this formula in the dataset: 0 meV per atom

---

Question: The lowest calculated formation energy belongs to which entry?
Answer: Ca2Ni3As2

---

Question: Which of these has the highest DOS at the Fermi energy?
Answer: Ca2Ni3As2

---

Question: Which of these has the lowest DOS at the Fermi energy?
Answer: CaNiAs2